1.
Compound: BaSrRuO4
Source: Alexandria via LeMat-Bulk
Functional: PBE
Structure: optimized geometry

Lattice parameters (Å, degrees): 3.9700 3.9700 7.2109 105.98 105.98 90.00
Sites, in units of the cell vectors:
Ba1 0.6492 0.6492 0.2984
Sr1 0.3565 0.3565 0.7130
Ru1 0.9995 0.9995 0.9989
O1 0.9951 0.4951 0.9902
O2 0.4951 0.9951 0.9902
O3 0.8435 0.8435 0.6870
O4 0.1612 0.1612 0.3224

Results
The value obtained for the energy is -6.69 eV per atom. The total magnetic moment comes out at 1.5 μB per cell. As for the density of states at the Fermi level: 3.39 states/eV/f.u. Its energy relative to the elements, uncorrected is -2.020 eV/atom. Its crystal system is tetragonal.



2.
Compound: BaTaRuO6
Source: Alexandria via LeMat-Bulk
Functional: PBE
Structure: optimized geometry

Lattice parameters (Å, degrees): 5.3332 5.3332 5.8140 90.00 90.00 60.00
Sites, in units of the cell vectors:
Ba1 0.0000 0.0000 0.0000
Ta1 0.6666 0.6667 0.5000
Ru1 0.3333 0.3333 0.5000
O1 0.0030 0.3844 0.3081
O2 0.3844 0.0030 0.6919
O3 0.6126 0.3844 0.6919
O4 0.0030 0.6126 0.6919
O5 0.3844 0.6126 0.3081
O6 0.6126 0.0030 0.3081

Results
The value obtained for the energy is -8.03 eV per atom. The total magnetic moment comes out at 3.0 μB per cell. Its energy relative to the elements, uncorrected is -2.167 eV/atom. Its crystal system is trigonal.



3.
Compound: BaTaRu2O8
Source: Alexandria via LeMat-Bulk
Functional: PBE
Structure: optimized geometry

Lattice parameters (Å, degrees): 5.6984 5.6984 7.3606 90.00 90.00 120.00
Sites, in units of the cell vectors:
Ba1 0.0000 0.0000 0.0000
Ta1 0.0000 0.0000 0.5000
Ru1 0.6667 0.3333 0.2453
Ru2 0.3333 0.6667 0.7547
O1 0.3333 0.6667 0.9965
O2 0.3125 0.2013 0.3324
O3 0.7987 0.1112 0.3324
O4 0.6667 0.3333 0.0035
O5 0.2013 0.8888 0.6676
O6 0.6875 0.7987 0.6676
O7 0.1112 0.3125 0.6676
O8 0.8888 0.6875 0.3324

Results
The value obtained for the energy is -7.58 eV per atom. The total magnetic moment comes out at 1.1 μB per cell. As for the density of states at the Fermi level: 8.59 states/eV/f.u. Its energy relative to the elements, uncorrected is -1.577 eV/atom. Its crystal system is trigonal.



4.
Compound: Ba3TbRu2O9
Source: Alexandria via LeMat-Bulk
Functional: PBE
Structure: optimized geometry

Lattice parameters (Å, degrees): 5.9671 5.9671 14.6290 90.00 90.00 120.00
Sites, in units of the cell vectors:
Ba1 0.3333 0.6667 0.5953
Ba2 0.0000 0.0000 0.2500
Ba3 0.6667 0.3333 0.4047
Ba4 0.6667 0.3333 0.0953
Ba5 0.3333 0.6667 0.9047
Ba6 0.0000 0.0000 0.7500
Tb1 0.0000 0.0000 0.5000
Tb2 0.0000 0.0000 0.0000
Ru1 0.3333 0.6667 0.3353
Ru2 0.6667 0.3333 0.8353
Ru3 0.6667 0.3333 0.6647
Ru4 0.3333 0.6667 0.1647
O1 0.1765 0.8235 0.0887
O2 0.1765 0.3530 0.0887
O3 0.6470 0.8235 0.0887
O4 0.3530 0.1765 0.5887
O5 0.8235 0.6470 0.9113
O6 0.8235 0.1765 0.5887
O7 0.8235 0.6470 0.5887
O8 0.1765 0.8235 0.4113
O9 0.6470 0.8235 0.4113
O10 0.3530 0.1765 0.9113
O11 0.8235 0.1765 0.9113
O12 0.1765 0.3530 0.4113
O13 0.4904 0.9809 0.2500
O14 0.5096 0.4904 0.7500
O15 0.9809 0.4904 0.7500
O16 0.0191 0.5096 0.2500
O17 0.4904 0.5096 0.2500
O18 0.5096 0.0191 0.7500

Results
The value obtained for the energy above the most stable polymorph in this dataset is 0.0000 eV per atom. The value obtained for the energy is -7.11 eV per atom. The total magnetic moment comes out at 6.0 μB per cell. As for the density of states at the Fermi level: 4.92 states/eV/f.u. Its energy relative to the elements, uncorrected is -2.205 eV/atom. Its crystal system is hexagonal.



5.
Compound: Ba3TbRu2O9
Source: Alexandria via LeMat-Bulk
Functional: PBE
Structure: optimized geometry

Lattice parameters (Å, degrees): 5.8943 5.8943 7.2640 90.00 90.00 120.00
Sites, in units of the cell vectors:
Ba1 0.3333 0.6667 0.6782
Ba2 0.0000 0.0000 0.0000
Ba3 0.6667 0.3333 0.3218
Tb1 0.0000 0.0000 0.5000
Ru1 0.3333 0.6667 0.1618
Ru2 0.6667 0.3333 0.8382
O1 0.8234 0.1766 0.6821
O2 0.8234 0.6468 0.6821
O3 0.3532 0.1766 0.6821
O4 0.6468 0.8234 0.3179
O5 0.1766 0.3532 0.3179
O6 0.1766 0.8234 0.3179
O7 0.5000 0.0000 0.0000
O8 0.0000 0.5000 0.0000
O9 0.5000 0.5000 0.0000

Results
The value obtained for the energy above the most stable polymorph in this dataset is 0.0182 eV per atom. The value obtained for the energy is -7.09 eV per atom. The total magnetic moment comes out at 5.0 μB per cell. As for the density of states at the Fermi level: 6.80 states/eV/f.u. Its energy relative to the elements, uncorrected is -2.187 eV/atom. Its crystal system is trigonal.



6.
Compound: BaTbRuO6
Source: Alexandria via LeMat-Bulk
Functional: PBE
Structure: optimized geometry

Lattice parameters (Å, degrees): 5.6189 5.6190 5.6361 90.00 90.00 60.00
Sites, in units of the cell vectors:
Ba1 0.0000 0.0000 0.0000
Tb1 0.6666 0.6667 0.5000
Ru1 0.3333 0.3334 0.5000
O1 0.0448 0.3528 0.3044
O2 0.3528 0.0448 0.6956
O3 0.6023 0.3529 0.6956
O4 0.0447 0.6025 0.6956
O5 0.3528 0.6024 0.3043
O6 0.6024 0.0447 0.3044

Results
The value obtained for the energy is -7.00 eV per atom. The total magnetic moment comes out at 1.0 μB per cell. As for the density of states at the Fermi level: 5.11 states/eV/f.u. Its energy relative to the elements, uncorrected is -1.937 eV/atom. Its crystal system is trigonal.



7.
Compound: BaTbRu2O8
Source: Alexandria via LeMat-Bulk
Functional: PBE
Structure: optimized geometry

Lattice parameters (Å, degrees): 5.9109 5.9109 7.6504 90.00 90.00 120.00
Sites, in units of the cell vectors:
Ba1 0.0000 0.0000 0.0000
Tb1 0.0000 0.0000 0.5000
Ru1 0.6667 0.3333 0.2282
Ru2 0.3333 0.6667 0.7718
O1 0.3333 0.6667 0.0048
O2 0.3278 0.1660 0.3023
O3 0.8340 0.1619 0.3023
O4 0.6667 0.3333 0.9952
O5 0.1660 0.8381 0.6977
O6 0.6722 0.8340 0.6977
O7 0.1619 0.3278 0.6977
O8 0.8381 0.6722 0.3023

Results
The value obtained for the energy is -7.07 eV per atom. The total magnetic moment comes out at 3.0 μB per cell. As for the density of states at the Fermi level: 5.81 states/eV/f.u. Its energy relative to the elements, uncorrected is -1.672 eV/atom. Its crystal system is trigonal.



8.
Compound: BaTcRuO6
Source: Alexandria via LeMat-Bulk
Functional: PBE
Structure: optimized geometry

Lattice parameters (Å, degrees): 5.3768 5.3769 5.5966 90.00 90.00 60.00
Sites, in units of the cell vectors:
Ba1 0.0000 0.0000 0.0000
Tc1 0.6666 0.6667 0.5000
Ru1 0.3333 0.3333 0.5000
O1 0.9950 0.3934 0.3114
O2 0.3933 0.9950 0.6886
O3 0.6116 0.3934 0.6886
O4 0.9950 0.6117 0.6886
O5 0.3933 0.6117 0.3114
O6 0.6116 0.9950 0.3114

Results
The value obtained for the energy is -7.32 eV per atom. The total magnetic moment comes out at 1.0 μB per cell. As for the density of states at the Fermi level: 3.31 states/eV/f.u. Its energy relative to the elements, uncorrected is -1.620 eV/atom. Its crystal system is trigonal.



9.
Compound: Ba2TcRuO6
Source: Alexandria via LeMat-Bulk
Functional: PBE
Structure: optimized geometry

Lattice parameters (Å, degrees): 5.7493 5.7494 5.7435 59.91 59.91 89.88
Sites, in units of the cell vectors:
Ba1 0.7500 0.2500 0.5000
Ba2 0.2500 0.7500 0.5000
Tc1 0.0000 0.0000 0.0000
Ru1 0.5000 0.5000 0.0000
O1 0.2474 0.2474 0.5052
O2 0.7531 0.7530 0.9998
O3 0.2472 0.7528 0.0000
O4 0.7527 0.2472 0.0000
O5 0.2469 0.2470 0.0002
O6 0.7526 0.7526 0.4948

Results
The value obtained for the energy is -7.20 eV per atom. The total magnetic moment comes out at 1.0 μB per cell. As for the density of states at the Fermi level: 5.53 states/eV/f.u. Its energy relative to the elements, uncorrected is -1.873 eV/atom. Its crystal system is orthorhombic.